DFT (PBE with a Hubbard U) results for crystalline Be2CrPb2O6 at its relaxed geometry.

DFT total energy, eV per cell: -70.71
Volume, Å³/f.u.: 129.96
M_tot, μB per formula unit: 1.989

a b c (Å): 6.064 6.064 6.064
angles (deg): 52.52 52.52 52.52
Element x y z (fractional)
Be: 0.091 0.091 0.091
Be: 0.909 0.909 0.909
Cr: 0.500 0.500 0.500
Pb: 0.287 0.287 0.287
Pb: 0.713 0.713 0.713
O: 0.245 0.745 0.745
O: 0.255 0.255 0.755
O: 0.255 0.755 0.255
O: 0.745 0.245 0.745
O: 0.745 0.745 0.245
O: 0.755 0.255 0.255